--- i ---
Material: MoPd2Pt
Method: DFT, PBE-GGA
State: optimized geometry

Cell lengths 3.872, 4.916, 3.871 Å; angles 113.18, 90.00, 113.19 degrees
Element x y z (fractional)
Mo  0.000  0.000  0.500
Pd  0.250  0.500  0.250
Pd  0.750  0.500  0.750
Pt  0.500  0.000  0.000

Computed properties:
volume: 15.3 Å³/atom
crystal system: tetragonal
space group: No. 139


--- ii ---
Material: MoPd2Pt
Method: DFT, PBE-GGA
State: optimized geometry

Cell lengths 4.003, 3.939, 3.939 Å; angles 90.00, 90.00, 90.00 degrees
Site moments in Bohr magnetons follow the coordinates.
Element x y z (fractional)
Mo  0.500  0.500  0.500  1.57
Pd  0.000  0.000  0.500  0.11
Pd  0.000  0.500  0.000  0.11
Pt  0.500  0.000  0.000  0.09

Computed properties:
volume: 15.5 Å³/atom
crystal system: tetragonal
space group: No. 123


--- iii ---
Material: MoPd2Pt
Method: DFT, PBE-GGA
State: optimized geometry

Cell lengths 2.776, 4.828, 9.354 Å; angles 80.05, 90.00, 90.00 degrees
Element x y z (fractional)
Mo  0.422  0.250  0.000
Mo  0.922  0.750  0.000
Pd  0.422  0.501  0.242
Pd  0.422  0.999  0.758
Pd  0.922  0.001  0.242
Pd  0.922  0.499  0.758
Pt  0.923  0.250  0.500
Pt  0.423  0.750  0.500

Computed properties:
volume: 15.4 Å³/atom
crystal system: monoclinic
space group: No. 12


In order of decreasing stability: i, iii, ii.


--- i ---
Material: MoPd2Pt
Method: DFT, PBE-GGA
State: optimized geometry

Cell lengths 7.119, 7.119, 5.701 Å; angles 51.36, 51.36, 90.00 degrees
Element x y z (fractional)
Mo  0.500  0.500  0.000
Mo  0.250  0.750  0.500
Pd  0.609  0.125  0.250
Pd  0.141  0.625  0.250
Pd  0.375  0.391  0.750
Pd  0.875  0.859  0.750
Pt  0.000  0.000  0.000
Pt  0.750  0.250  0.500

Computed properties:
volume: 17.0 Å³/atom
crystal system: tetragonal
space group: No. 122


--- ii ---
Material: MoPd2Pt
Method: DFT, PBE-GGA
State: optimized geometry

Cell lengths 4.445, 4.445, 4.445 Å; angles 60.00, 60.00, 60.00 degrees
Element x y z (fractional)
Mo  0.000  0.000  0.000
Pd  0.250  0.250  0.250
Pd  0.750  0.750  0.750
Pt  0.500  0.500  0.500

Computed properties:
volume: 15.5 Å³/atom
crystal system: cubic
space group: No. 225


In order of decreasing stability: ii, i.


--- i ---
Material: MoPd4Pt3
Method: DFT, PBE-GGA
State: optimized geometry

Cell lengths 3.948, 7.874, 7.936 Å; angles 90.00, 90.00, 90.00 degrees
Element x y z (fractional)
Mo  0.064  0.380  0.000
Mo  0.564  0.620  0.500
Pt  0.564  0.621  0.000
Pt  0.064  0.623  0.255
Pt  0.564  0.377  0.245
Pt  0.064  0.379  0.500
Pt  0.564  0.377  0.755
Pt  0.064  0.623  0.745
Pd  0.064  0.875  0.000
Pd  0.564  0.131  0.000
Pd  0.064  0.128  0.248
Pd  0.564  0.872  0.252
Pd  0.064  0.869  0.500
Pd  0.564  0.125  0.500
Pd  0.564  0.872  0.748
Pd  0.064  0.128  0.752

Computed properties:
volume: 15.4 Å³/atom
crystal system: orthorhombic
space group: No. 59


--- ii ---
Material: MoPd4Pt3
Method: DFT, PBE-GGA
State: optimized geometry

Cell lengths 2.716, 4.700, 12.440 Å; angles 114.50, 96.27, 90.00 degrees
Element x y z (fractional)
Mo  0.500  0.000  0.000
Pd  0.695  0.801  0.390
Pd  0.305  0.199  0.610
Pd  0.903  0.649  0.806
Pd  0.097  0.351  0.194
Pt  0.000  0.500  0.000
Pt  0.198  0.301  0.396
Pt  0.802  0.699  0.604

Computed properties:
volume: 17.9 Å³/atom
crystal system: monoclinic
space group: No. 12


In order of decreasing stability: i, ii.


--- i ---
Material: Mo2PdPt
Method: DFT, PBE-GGA
State: optimized geometry

Cell lengths 4.482, 4.482, 4.482 Å; angles 60.00, 60.00, 60.00 degrees
Element x y z (fractional)
Mo  0.250  0.250  0.250
Mo  0.750  0.750  0.750
Pd  0.000  0.000  0.000
Pt  0.500  0.500  0.500

Computed properties:
volume: 15.9 Å³/atom
crystal system: cubic
space group: No. 225


--- ii ---
Material: Mo2PdPt
Method: DFT, PBE-GGA
State: optimized geometry

Cell lengths 4.976, 2.733, 6.450 Å; angles 104.00, 131.51, 90.25 degrees
Element x y z (fractional)
Mo  0.019  0.787  0.007
Mo  0.234  0.465  0.497
Pd  0.747  0.990  0.506
Pt  0.500  0.258  0.990

Computed properties:
volume: 15.5 Å³/atom
crystal system: triclinic
space group: No. 1


--- iii ---
Material: Mo2PdPt
Method: DFT, PBE-GGA
State: optimized geometry

Cell lengths 7.170, 7.170, 5.720 Å; angles 51.19, 51.19, 90.00 degrees
Element x y z (fractional)
Mo  0.637  0.125  0.250
Mo  0.113  0.625  0.250
Mo  0.375  0.363  0.750
Mo  0.875  0.887  0.750
Pd  0.500  0.500  0.000
Pd  0.250  0.750  0.500
Pt  0.000  0.000  0.000
Pt  0.750  0.250  0.500

Computed properties:
volume: 17.0 Å³/atom
crystal system: tetragonal
space group: No. 122


In order of decreasing stability: ii, i, iii.


--- i ---
Material: MoPd3Pt2
Method: DFT, PBE-GGA
State: optimized geometry

Cell lengths 2.756, 8.806, 15.498 Å; angles 90.00, 90.00, 90.00 degrees
Element x y z (fractional)
Mo  0.250  0.294  0.660
Mo  0.750  0.706  0.340
Mo  0.750  0.206  0.160
Mo  0.250  0.794  0.840
Pd  0.250  0.251  0.825
Pd  0.750  0.749  0.175
Pd  0.750  0.249  0.325
Pd  0.250  0.751  0.675
Pd  0.750  0.029  0.919
Pd  0.250  0.971  0.081
Pd  0.250  0.471  0.419
Pd  0.750  0.529  0.581
Pd  0.250  0.014  0.582
Pd  0.750  0.986  0.418
Pd  0.750  0.486  0.082
Pd  0.250  0.514  0.918
Pt  0.250  0.251  0.012
Pt  0.750  0.749  0.988
Pt  0.750  0.249  0.512
Pt  0.250  0.751  0.488
Pt  0.750  0.011  0.740
Pt  0.250  0.989  0.260
Pt  0.250  0.489  0.240
Pt  0.750  0.511  0.760

Computed properties:
volume: 15.7 Å³/atom
crystal system: orthorhombic
space group: No. 62


--- ii ---
Material: MoPd3Pt2
Method: DFT, PBE-GGA
State: optimized geometry

Cell lengths 2.655, 4.961, 8.194 Å; angles 107.62, 99.32, 90.00 degrees
Element x y z (fractional)
Mo  0.000  0.000  0.000
Pd  0.000  0.500  0.000
Pd  0.837  0.837  0.675
Pd  0.163  0.163  0.325
Pt  0.657  0.657  0.313
Pt  0.343  0.343  0.687

Computed properties:
volume: 16.9 Å³/atom
crystal system: orthorhombic
space group: No. 71


In order of decreasing stability: i, ii.


--- i ---
Material: MoPd3Pt3
Method: DFT, PBE-GGA
State: optimized geometry

Cell lengths 5.497, 5.497, 7.790 Å; angles 90.00, 90.00, 85.72 degrees
Element x y z (fractional)
Mo  0.223  0.223  0.000
Mo  0.777  0.777  0.000
Pd  0.246  0.246  0.500
Pd  0.265  0.735  0.500
Pd  0.735  0.265  0.500
Pd  0.309  0.691  0.000
Pd  0.691  0.309  0.000
Pd  0.754  0.754  0.500
Pt  0.000  0.000  0.760
Pt  0.500  0.000  0.239
Pt  0.000  0.500  0.239
Pt  0.500  0.000  0.761
Pt  0.000  0.500  0.761
Pt  0.000  0.000  0.240

Computed properties:
volume: 16.8 Å³/atom
crystal system: orthorhombic
space group: No. 65


--- ii ---
Material: MoPd3Pt3
Method: DFT, PBE-GGA
State: optimized geometry

Cell lengths 4.546, 7.404, 7.404 Å; angles 120.00, 90.00, 90.00 degrees
Element x y z (fractional)
Mo  0.250  0.667  0.333
Mo  0.750  0.333  0.667
Pd  0.750  0.757  0.944
Pd  0.750  0.188  0.243
Pd  0.250  0.944  0.188
Pd  0.750  0.056  0.812
Pd  0.250  0.812  0.757
Pd  0.250  0.243  0.056
Pt  0.750  0.904  0.383
Pt  0.750  0.479  0.096
Pt  0.250  0.383  0.479
Pt  0.750  0.617  0.521
Pt  0.250  0.521  0.904
Pt  0.250  0.096  0.617

Computed properties:
volume: 15.4 Å³/atom
crystal system: hexagonal
space group: No. 176


In order of decreasing stability: ii, i.


--- i ---
Material: MoPd2Pt4
Method: DFT, PBE-GGA
State: optimized geometry

Cell lengths 4.638, 4.443, 12.979 Å; angles 90.00, 90.00, 121.46 degrees
Element x y z (fractional)
Mo  0.586  0.172  0.750
Mo  0.414  0.828  0.250
Pd  0.161  0.323  0.449
Pd  0.839  0.677  0.949
Pd  0.161  0.323  0.051
Pd  0.839  0.677  0.551
Pt  0.749  0.498  0.150
Pt  0.749  0.498  0.350
Pt  0.251  0.502  0.850
Pt  0.251  0.502  0.650
Pt  0.931  0.861  0.750
Pt  0.069  0.139  0.250
Pt  0.500  0.000  0.000
Pt  0.500  0.000  0.500

Computed properties:
volume: 16.3 Å³/atom
crystal system: orthorhombic
space group: No. 63


--- ii ---
Material: MoPd2Pt4
Method: DFT, PBE-GGA
State: optimized geometry

Cell lengths 3.998, 2.747, 10.680 Å; angles 97.39, 90.00, 90.00 degrees
Element x y z (fractional)
Mo  0.000  0.500  0.000
Pd  0.500  0.196  0.391
Pd  0.500  0.804  0.609
Pt  0.500  0.064  0.127
Pt  0.000  0.369  0.738
Pt  0.500  0.936  0.873
Pt  0.000  0.631  0.262

Computed properties:
volume: 16.6 Å³/atom
crystal system: orthorhombic
space group: No. 65


In order of decreasing stability: ii, i.


--- i ---
Material: MoPd8Pt2
Method: DFT, PBE-GGA
State: optimized geometry

Cell lengths 4.779, 6.876, 6.876 Å; angles 59.91, 78.19, 78.19 degrees
Element x y z (fractional)
Mo  0.000  0.000  0.000
Pd  0.203  0.373  0.762
Pd  0.797  0.238  0.627
Pd  0.074  0.772  0.772
Pd  0.926  0.228  0.228
Pd  0.203  0.762  0.373
Pd  0.797  0.627  0.238
Pd  0.656  0.645  0.645
Pd  0.344  0.355  0.355
Pt  0.506  0.878  0.878
Pt  0.494  0.122  0.122

Computed properties:
volume: 17.3 Å³/atom
crystal system: monoclinic
space group: No. 12


--- ii ---
Material: MoPd8Pt2
Method: DFT, PBE-GGA
State: optimized geometry

Cell lengths 4.842, 4.819, 7.390 Å; angles 96.26, 89.62, 99.96 degrees
Element x y z (fractional)
Mo  0.500  0.000  0.000
Pd  0.594  0.542  0.178
Pd  0.316  0.914  0.641
Pd  0.227  0.364  0.454
Pd  0.953  0.733  0.911
Pd  0.773  0.636  0.546
Pd  0.684  0.086  0.359
Pd  0.406  0.458  0.822
Pd  0.047  0.267  0.089
Pt  0.149  0.820  0.267
Pt  0.851  0.180  0.733

Computed properties:
volume: 15.3 Å³/atom
crystal system: triclinic
space group: No. 2


In order of decreasing stability: ii, i.


--- i ---
Material: Rb2MoPd
Method: DFT, PBE-GGA
State: optimized geometry

Cell lengths 5.910, 5.910, 5.910 Å; angles 60.00, 60.00, 60.00 degrees
Site moments in Bohr magnetons follow the coordinates.
Element x y z (fractional)
Mo  0.000  0.000  0.000  4.00
Rb  0.250  0.250  0.250  0.04
Rb  0.750  0.750  0.750  0.04
Pd  0.500  0.500  0.500  0.12

Computed properties:
volume: 36.5 Å³/atom
crystal system: cubic
space group: No. 225


--- ii ---
Material: Rb2MoPd
Method: DFT, PBE-GGA
State: optimized geometry

Cell lengths 12.830, 12.830, 9.408 Å; angles 47.01, 47.01, 90.00 degrees
Site moments in Bohr magnetons follow the coordinates.
Element x y z (fractional)
Mo  0.500  0.500  0.000  3.20
Mo  0.250  0.750  0.500  3.20
Rb  0.796  0.125  0.250  0.01
Rb  0.954  0.625  0.250  0.01
Rb  0.375  0.204  0.750  0.02
Rb  0.875  0.046  0.750  0.02
Pd  0.000  0.000  0.000  0.13
Pd  0.750  0.250  0.500  0.14

Computed properties:
volume: 51.2 Å³/atom
crystal system: tetragonal
space group: No. 122


In order of decreasing stability: ii, i.


--- i ---
Material: RbMo3Pd
Method: DFT, PBE-GGA
State: optimized geometry

Cell lengths 4.622, 4.622, 4.622 Å; angles 90.00, 90.00, 90.00 degrees
Element x y z (fractional)
Mo  0.000  0.500  0.000
Mo  0.000  0.000  0.500
Mo  0.500  0.000  0.000
Rb  0.000  0.000  0.000
Pd  0.500  0.500  0.500

Computed properties:
volume: 19.7 Å³/atom
crystal system: cubic
space group: No. 221


--- ii ---
Material: RbMo3Pd
Method: DFT, PBE-GGA
State: optimized geometry

Cell lengths 4.985, 4.985, 4.985 Å; angles 90.00, 90.00, 90.00 degrees
Site moments in Bohr magnetons follow the coordinates.
Element x y z (fractional)
Mo  0.000  0.500  0.000  1.49
Mo  0.000  0.000  0.500  1.31
Mo  0.500  0.000  0.000  1.29
Rb  0.500  0.500  0.500  0.05
Pd  0.000  0.000  0.000  0.08

Computed properties:
volume: 24.8 Å³/atom
crystal system: cubic
space group: No. 221


In order of decreasing stability: ii, i.